Entry from the Alexandria database: a crystal of La5Au3 relaxed with PBEsol (meta-GGA SCAN).

Unit cell a=8.7775 b=8.7775 c=6.8364 alpha=90.00 beta=90.00 gamma=120.00
Space group P6_3/mcm (No. 193)
Inequivalent atoms, fractional coordinates:
La: 0.0000 0.2431 0.2500 (multiplicity 6)
La: 0.3333 0.6667 0.0000 (multiplicity 4)
Au: 0.0000 0.3965 0.7500 (multiplicity 6)

ρ in g/cm³: 9.4
Size of the total moment in μB per formula unit: 0.0
Electronic total energy in eV for the cell shown: -859.026